{"formula": "FeP2Pt", "functional": "SCAN", "state": "single point on PBEsol structure", "spacegroup": "I-4m2, No. 119", "delta_e_f_ev_per_atom": 0.187, "cell": [[3.543, 0.000, 0.000], [0.000, 3.543, 0.000], [-1.771, -1.771, 4.151]], "species": ["Fe", "Pt", "P", "P"], "fractional_positions": [[0.250, 0.750, 0.500], [0.500, 0.500, 0.000], [0.750, 0.250, 0.500], [0.000, 0.000, 0.000]]}